[1]
VASP calculation (PBE) on a relaxed structure of YHo3Rh3.

spin magnetization	0.0	μB per cell
D(E_F)	6.337	states/eV per cell
energy relative to the elements	-70.80	kJ per mole of atoms

a b c (Å): 6.905 6.905 6.686
angles (deg): 90.00 90.00 90.97
Positions (direct):
Y (0.245, 0.245, 0.000)
Y (0.755, 0.755, 0.000)
Ho (0.254, 0.254, 0.500)
Ho (0.255, 0.745, 0.500)
Ho (0.263, 0.737, 0.000)
Ho (0.737, 0.263, 0.000)
Ho (0.745, 0.255, 0.500)
Ho (0.746, 0.746, 0.500)
Rh (0.000, 0.500, 0.251)
Rh (0.000, 0.500, 0.749)
Rh (0.500, 0.000, 0.251)
Rh (0.500, 0.000, 0.749)
Rh (0.500, 0.500, 0.253)
Rh (0.500, 0.500, 0.747)

***

[2]
VASP calculation (PBE) on a relaxed structure of TlCu2Pt.

spin magnetization	0.0	μB per cell
D(E_F)	2.519	states/eV per cell
energy relative to the elements	5.92	kJ per mole of atoms
energy relative to the lowest polymorph listed for this composition	1.6	kJ/mol of formula units

a b c (Å): 4.096 4.096 3.752
angles (deg): 90.00 90.00 90.00
Positions (direct):
Tl (0.000, 0.000, 0.000)
Cu (0.000, 0.500, 0.500)
Cu (0.500, 0.000, 0.500)
Pt (0.500, 0.500, 0.000)

***

Repeat the second record exactly.
VASP calculation (PBE) on a relaxed structure of TlCu2Pt.

spin magnetization	0.0	μB per cell
D(E_F)	2.519	states/eV per cell
energy relative to the elements	5.92	kJ per mole of atoms
energy relative to the lowest polymorph listed for this composition	1.6	kJ/mol of formula units

a b c (Å): 4.096 4.096 3.752
angles (deg): 90.00 90.00 90.00
Positions (direct):
Tl (0.000, 0.000, 0.000)
Cu (0.000, 0.500, 0.500)
Cu (0.500, 0.000, 0.500)
Pt (0.500, 0.500, 0.000)

***

What is the energy relative to the elements in the second record?
5.92 kJ per mole of atoms

***

Repeat the second record exactly.
VASP calculation (PBE) on a relaxed structure of TlCu2Pt.

spin magnetization	0.0	μB per cell
D(E_F)	2.519	states/eV per cell
energy relative to the elements	5.92	kJ per mole of atoms
energy relative to the lowest polymorph listed for this composition	1.6	kJ/mol of formula units

a b c (Å): 4.096 4.096 3.752
angles (deg): 90.00 90.00 90.00
Positions (direct):
Tl (0.000, 0.000, 0.000)
Cu (0.000, 0.500, 0.500)
Cu (0.500, 0.000, 0.500)
Pt (0.500, 0.500, 0.000)

***

Repeat the first record exactly.
VASP calculation (PBE) on a relaxed structure of YHo3Rh3.

spin magnetization	0.0	μB per cell
D(E_F)	6.337	states/eV per cell
energy relative to the elements	-70.80	kJ per mole of atoms

a b c (Å): 6.905 6.905 6.686
angles (deg): 90.00 90.00 90.97
Positions (direct):
Y (0.245, 0.245, 0.000)
Y (0.755, 0.755, 0.000)
Ho (0.254, 0.254, 0.500)
Ho (0.255, 0.745, 0.500)
Ho (0.263, 0.737, 0.000)
Ho (0.737, 0.263, 0.000)
Ho (0.745, 0.255, 0.500)
Ho (0.746, 0.746, 0.500)
Rh (0.000, 0.500, 0.251)
Rh (0.000, 0.500, 0.749)
Rh (0.500, 0.000, 0.251)
Rh (0.500, 0.000, 0.749)
Rh (0.500, 0.500, 0.253)
Rh (0.500, 0.500, 0.747)